A plane-wave DFT calculation with PBE-GGA was carried out for a relaxed Ac14YEr crystal. Values from VASP.

```
&SYSTEM
  ibrav = 0, nat = 16, ntyp = 3
/
ATOMIC_SPECIES
Ac 227.00 Ac.upf
Y 88.91 Y.upf
Er 167.26 Er.upf
ATOMIC_POSITIONS crystal
Ac 0.125 0.375 0.243
Ac 0.875 0.125 0.500
Ac 0.375 0.125 0.000
Ac 0.375 0.625 0.500
Ac 0.625 0.875 0.243
Ac 0.626 0.374 0.756
Ac 0.875 0.625 0.500
Ac 0.625 0.875 0.757
Ac 0.124 0.876 0.243
Ac 0.375 0.125 0.500
Ac 0.125 0.375 0.757
Ac 0.875 0.625 0.000
Ac 0.124 0.876 0.757
Ac 0.626 0.374 0.244
Y 0.375 0.625 0.000
Er 0.875 0.125 0.000
CELL_PARAMETERS angstrom
7.801 1.046 0.000
-1.047 7.801 0.000
0.000 0.000 11.193
```

Values from the calculation:
The calculation puts the energy relative to the elements at 29 meV/atom. As for the space group: Amm2, No. 38. The theoretical density is 8.22 g/cm³.



A plane-wave DFT calculation with PBE-GGA was carried out for a relaxed Ac2Y3Er crystal. Values from VASP.

```
&SYSTEM
  ibrav = 0, nat = 12, ntyp = 3
/
ATOMIC_SPECIES
Y 88.91 Y.upf
Ac 227.00 Ac.upf
Er 167.26 Er.upf
ATOMIC_POSITIONS crystal
Y 0.289 0.618 0.579
Y 0.952 0.614 0.905
Y 0.376 0.383 0.752
Y 0.048 0.386 0.095
Y 0.711 0.382 0.421
Y 0.624 0.617 0.248
Ac 0.535 0.867 0.070
Ac 0.210 0.868 0.420
Ac 0.465 0.133 0.930
Ac 0.790 0.132 0.580
Er 0.127 0.134 0.255
Er 0.873 0.866 0.745
CELL_PARAMETERS angstrom
-3.354 3.222 2.413
-8.967 -6.414 -3.903
4.688 -3.682 5.747
```

Values from the calculation:
The calculation puts the energy relative to the elements at 58 meV/atom. As for the space group: C2/m, No. 12. The theoretical density is 6.84 g/cm³.



A plane-wave DFT calculation with PBE-GGA was carried out for a relaxed Ac2Y6Er5 crystal. Values from VASP.

```
&SYSTEM
  ibrav = 0, nat = 26, ntyp = 3
/
ATOMIC_SPECIES
Ac 227.00 Ac.upf
Y 88.91 Y.upf
Er 167.26 Er.upf
ATOMIC_POSITIONS crystal
Ac 0.000 0.342 0.279
Ac 0.000 0.842 0.221
Ac 0.000 0.658 0.721
Ac 0.000 0.158 0.779
Y 0.000 0.942 0.924
Y 0.000 0.421 0.863
Y 0.000 0.579 0.137
Y 0.000 0.058 0.076
Y 0.500 0.181 0.617
Y 0.000 0.921 0.637
Y 0.000 0.442 0.576
Y 0.000 0.558 0.424
Y 0.500 0.819 0.383
Y 0.000 0.079 0.363
Y 0.500 0.319 0.117
Y 0.500 0.681 0.883
Er 0.500 0.200 0.949
Er 0.500 0.500 0.000
Er 0.500 0.800 0.051
Er 0.500 0.300 0.449
Er 0.500 0.896 0.781
Er 0.500 0.000 0.500
Er 0.500 0.396 0.719
Er 0.500 0.604 0.281
Er 0.500 0.104 0.219
Er 0.500 0.700 0.551
CELL_PARAMETERS angstrom
-2.158 -2.932 0.091
1.284 -0.577 11.871
-16.218 12.007 2.338
```

Values from the calculation:
The calculation puts the energy relative to the elements at 121 meV/atom. As for the space group: Pbam, No. 55. The theoretical density is 6.85 g/cm³.



A plane-wave DFT calculation with PBE-GGA was carried out for a relaxed AcYEr crystal. Values from VASP.

```
&SYSTEM
  ibrav = 0, nat = 6, ntyp = 3
/
ATOMIC_SPECIES
Ac 227.00 Ac.upf
Er 167.26 Er.upf
Y 88.91 Y.upf
ATOMIC_POSITIONS crystal
Ac 0.928 0.974 0.147
Ac 0.428 0.535 0.026
Er 0.428 0.859 0.377
Er 0.928 0.650 0.796
Y 0.928 0.305 0.484
Y 0.428 0.204 0.689
CELL_PARAMETERS angstrom
-5.090 -2.826 -1.325
0.726 -2.553 2.656
-4.293 4.093 7.760
```

Values from the calculation:
The calculation puts the energy relative to the elements at 63 meV/atom. The relative energy among the computed polymorphs comes out at 0 meV/atom. As for the space group: Cmcm, No. 63. The theoretical density is 7.47 g/cm³.



A plane-wave DFT calculation with PBE-GGA was carried out for a relaxed AcY6Er8 crystal. Values from VASP.

```
&SYSTEM
  ibrav = 0, nat = 15, ntyp = 3
/
ATOMIC_SPECIES
Y 88.91 Y.upf
Ac 227.00 Ac.upf
Er 167.26 Er.upf
ATOMIC_POSITIONS crystal
Y 0.723 0.937 0.481
Y 0.481 0.723 0.937
Y 0.063 0.519 0.277
Y 0.519 0.277 0.063
Y 0.277 0.063 0.519
Y 0.937 0.481 0.723
Ac 0.000 0.000 0.000
Er 0.666 0.805 0.121
Er 0.334 0.195 0.879
Er 0.195 0.879 0.334
Er 0.879 0.334 0.195
Er 0.805 0.121 0.666
Er 0.580 0.580 0.580
Er 0.420 0.420 0.420
Er 0.121 0.666 0.805
CELL_PARAMETERS angstrom
7.887 0.383 4.202
2.691 7.423 4.202
0.519 0.383 8.921
```

Values from the calculation:
The calculation puts the energy relative to the elements at 167 meV/atom. As for the space group: R-3, No. 148. The theoretical density is 7.12 g/cm³.



A plane-wave DFT calculation with PBE-GGA was carried out for a relaxed AcY2Er2 crystal. Values from VASP.

```
&SYSTEM
  ibrav = 0, nat = 10, ntyp = 3
/
ATOMIC_SPECIES
Ac 227.00 Ac.upf
Er 167.26 Er.upf
Y 88.91 Y.upf
ATOMIC_POSITIONS crystal
Ac 0.500 0.500 0.000
Ac 0.750 0.250 0.500
Er 0.625 0.375 0.750
Er 0.625 0.375 0.250
Er 0.625 0.875 0.250
Er 0.125 0.375 0.750
Y 0.176 0.824 0.000
Y 0.074 0.926 0.500
Y 0.824 0.176 0.000
Y 0.426 0.574 0.500
CELL_PARAMETERS angstrom
-3.615 2.787 -4.676
1.468 -6.322 0.763
-8.498 0.335 8.503
```

Values from the calculation:
The calculation puts the energy relative to the elements at 575 meV/atom. The relative energy among the computed polymorphs comes out at 417 meV/atom. As for the space group: Fddd, No. 70. The theoretical density is 6.28 g/cm³.



A plane-wave DFT calculation with PBE-GGA was carried out for a relaxed Ac4YEr2 crystal. Values from VASP.

```
&SYSTEM
  ibrav = 0, nat = 14, ntyp = 3
/
ATOMIC_SPECIES
Er 167.26 Er.upf
Ac 227.00 Ac.upf
Y 88.91 Y.upf
ATOMIC_POSITIONS crystal
Er 0.669 0.920 0.052
Er 0.920 0.669 0.552
Er 0.368 0.118 0.449
Er 0.118 0.368 0.949
Ac 0.247 0.232 0.192
Ac 0.232 0.745 0.192
Ac 0.805 0.291 0.309
Ac 0.291 0.805 0.809
Ac 0.790 0.803 0.308
Ac 0.803 0.790 0.808
Ac 0.745 0.232 0.692
Ac 0.232 0.247 0.692
Y 0.394 0.645 0.500
Y 0.645 0.394 0.000
CELL_PARAMETERS angstrom
-0.345 1.960 -7.283
-0.207 -7.097 2.568
-11.621 3.177 3.084
```

Values from the calculation:
The calculation puts the energy relative to the elements at 208 meV/atom. As for the space group: Fdd2, No. 43. The theoretical density is 7.92 g/cm³.



A plane-wave DFT calculation with PBE-GGA was carried out for a relaxed Ac2ErZn4 crystal. Values from VASP.

```
&SYSTEM
  ibrav = 0, nat = 7, ntyp = 3
/
ATOMIC_SPECIES
Ac 227.00 Ac.upf
Zn 65.41 Zn.upf
Er 167.26 Er.upf
ATOMIC_POSITIONS crystal
Ac 0.718 0.718 0.437
Ac 0.282 0.282 0.563
Zn 0.097 0.597 0.194
Zn 0.403 0.903 0.806
Zn 0.597 0.097 0.194
Zn 0.903 0.403 0.806
Er 0.000 0.000 0.000
CELL_PARAMETERS angstrom
-4.278 -0.025 3.286
2.739 -3.008 3.543
3.012 7.045 -0.454
```

Values from the calculation:
The calculation puts the energy relative to the elements at -119 meV/atom. As for the space group: I4/mmm, No. 139. The theoretical density is 7.56 g/cm³.



A plane-wave DFT calculation with PBE-GGA was carried out for a relaxed Ac5ErZn6 crystal. Values from VASP.

```
&SYSTEM
  ibrav = 0, nat = 12, ntyp = 3
/
ATOMIC_SPECIES
Zn 65.41 Zn.upf
Ac 227.00 Ac.upf
Er 167.26 Er.upf
ATOMIC_POSITIONS crystal
Zn 0.500 0.221 0.000
Zn 0.158 0.922 0.685
Zn 0.842 0.078 0.315
Zn 0.158 0.393 0.685
Zn 0.500 0.779 0.000
Zn 0.842 0.607 0.315
Ac 0.335 0.335 0.330
Ac 0.330 0.830 0.340
Ac 0.670 0.170 0.660
Ac 0.000 0.500 0.000
Ac 0.665 0.665 0.670
Er 0.000 0.000 0.000
CELL_PARAMETERS angstrom
-1.698 -2.902 -4.262
5.238 -5.409 1.595
-3.662 -8.009 3.436
```

Values from the calculation:
The calculation puts the energy relative to the elements at -239 meV/atom. As for the space group: C2/m, No. 12. The theoretical density is 8.22 g/cm³.



A plane-wave DFT calculation with PBE-GGA was carried out for a relaxed AcEr3Zn2 crystal. Values from VASP.

```
&SYSTEM
  ibrav = 0, nat = 6, ntyp = 3
/
ATOMIC_SPECIES
Er 167.26 Er.upf
Zn 65.41 Zn.upf
Ac 227.00 Ac.upf
ATOMIC_POSITIONS crystal
Er 0.000 0.000 0.725
Er 0.000 0.000 0.000
Er 0.000 0.000 0.275
Zn 0.500 0.500 0.862
Zn 0.500 0.500 0.138
Ac 0.500 0.500 0.500
CELL_PARAMETERS angstrom
3.603 0.000 0.000
0.000 3.603 0.000
0.000 0.000 12.524
```

Values from the calculation:
The calculation puts the energy relative to the elements at -202 meV/atom. As for the space group: P4/mmm, No. 123. The theoretical density is 8.78 g/cm³.



A plane-wave DFT calculation with PBE-GGA was carried out for a relaxed AcEr2Zn crystal. Values from VASP.

```
&SYSTEM
  ibrav = 0, nat = 4, ntyp = 3
/
ATOMIC_SPECIES
Ac 227.00 Ac.upf
Er 167.26 Er.upf
Zn 65.41 Zn.upf
ATOMIC_POSITIONS crystal
Ac 0.500 0.500 0.500
Er 0.000 0.000 0.811
Er 0.000 0.000 0.189
Zn 0.500 0.500 0.000
CELL_PARAMETERS angstrom
-0.480 -2.522 -2.565
1.115 -2.565 2.313
-8.497 -1.198 2.767
```

Values from the calculation:
The calculation puts the energy relative to the elements at -122 meV/atom. The relative energy among the computed polymorphs comes out at 0 meV/atom. As for the space group: P4/mmm, No. 123. The theoretical density is 8.77 g/cm³.



A plane-wave DFT calculation with PBE-GGA was carried out for a relaxed Ac3ErZn8 crystal. Values from VASP.

```
&SYSTEM
  ibrav = 0, nat = 12, ntyp = 3
/
ATOMIC_SPECIES
Zn 65.41 Zn.upf
Er 167.26 Er.upf
Ac 227.00 Ac.upf
ATOMIC_POSITIONS crystal
Zn 0.490 0.979 0.745
Zn 0.021 0.510 0.745
Zn 0.333 0.667 0.010
Zn 0.670 0.835 0.257
Zn 0.165 0.835 0.257
Zn 0.490 0.510 0.745
Zn 0.333 0.667 0.493
Zn 0.165 0.330 0.257
Er 0.000 0.000 0.553
Ac 0.667 0.333 0.051
Ac 0.667 0.333 0.453
Ac 0.000 0.000 0.936
CELL_PARAMETERS angstrom
5.866 0.000 0.000
-2.933 5.080 0.000
0.000 0.000 8.991
```

Values from the calculation:
The calculation puts the energy relative to the elements at -217 meV/atom. As for the space group: P3m1, No. 156. The theoretical density is 8.50 g/cm³.